Record 1
PBE KBSb2F, optimized geometry; Fermi-level density of states = 4.92 states/eV per cell; ΔE_f (raw) = 1.14 eV/atom; total magnetization = 0.0 μB per formula unit; space-group type = P4/mmm (123)
1.0
-2.072 -4.635 -3.281
3.344 -2.422 1.311
-3.237 -1.906 4.736
K Sb F B
1 2 1 1
Direct
0.000 0.000 0.000
0.000 0.000 0.500
0.500 0.000 0.000
0.000 0.500 0.000
0.500 0.500 0.500

=====

Record 2
PBE KSnBF6, optimized geometry; Fermi-level density of states = 0.00 states/eV per cell; ΔE_f (raw) = -2.71 eV/atom; total magnetization = 0.0 μB per formula unit; space-group type = P1 (1)
1.0
5.176 0.412 0.245
3.017 4.689 -0.057
-0.131 -0.194 7.381
F Sn K B
6 1 1 1
Direct
0.977 0.799 0.778
0.443 0.095 0.147
0.026 0.537 0.313
0.560 0.297 0.381
0.704 0.387 0.945
0.297 0.090 0.450
0.983 0.955 0.035
0.679 0.582 0.625
0.330 0.258 0.326

=====

Record 3
PBE KSr2BF, optimized geometry; Fermi-level density of states = 2.87 states/eV per cell; ΔE_f (raw) = -0.19 eV/atom; total magnetization = 0.0 μB per formula unit; space-group type = P4/mmm (123)
1.0
5.460 0.000 0.000
0.000 6.146 0.000
0.000 0.000 5.460
K F Sr B
1 1 2 1
Direct
0.000 0.500 0.000
0.500 0.500 0.500
0.000 0.000 0.500
0.500 0.000 0.000
0.000 0.000 0.000

=====

Record 4
PBE KTl2BF6, optimized geometry; Fermi-level density of states = 0.00 states/eV per cell; ΔE_f (raw) = -2.17 eV/atom; total magnetization = 0.0 μB per formula unit; space-group type = I4/mmm (139)
1.0
6.009 0.000 0.000
0.000 6.010 0.000
3.005 3.005 4.268
Tl F B K
2 6 1 1
Direct
0.750 0.250 0.500
0.250 0.750 0.500
0.305 0.305 0.390
0.306 0.694 0.000
0.694 0.694 0.000
0.694 0.306 0.000
0.695 0.695 0.610
0.306 0.306 0.000
0.500 0.500 0.000
0.000 0.000 0.000

=====

Record 5
PBE K2TlBF, optimized geometry; Fermi-level density of states = 2.53 states/eV per cell; ΔE_f (raw) = -0.15 eV/atom; total magnetization = 1.1 μB per formula unit; space-group type = P4/mmm (123)
1.0
4.968 0.000 0.000
0.000 5.530 0.000
0.000 0.000 4.968
F K B Tl
1 2 1 1
Direct
0.000 0.000 0.000
0.500 0.000 0.000
0.000 0.000 0.500
0.500 0.500 0.500
0.000 0.500 0.000

=====

Repeat the fourth record exactly.
PBE KTl2BF6, optimized geometry; Fermi-level density of states = 0.00 states/eV per cell; ΔE_f (raw) = -2.17 eV/atom; total magnetization = 0.0 μB per formula unit; space-group type = I4/mmm (139)
1.0
6.009 0.000 0.000
0.000 6.010 0.000
3.005 3.005 4.268
Tl F B K
2 6 1 1
Direct
0.750 0.250 0.500
0.250 0.750 0.500
0.305 0.305 0.390
0.306 0.694 0.000
0.694 0.694 0.000
0.694 0.306 0.000
0.695 0.695 0.610
0.306 0.306 0.000
0.500 0.500 0.000
0.000 0.000 0.000

=====

Question: Number 5 is which compound?
Answer: K2TlBF